# 1
RbSr2InTe4 | PBE-GGA | relaxed

POSCAR file:
```
RbSr2InTe4
1.0
-8.753 3.355 -1.763
-1.882 -7.487 -5.603
2.837 -1.383 8.982
Rb Sr In Te
2 4 2 8
Direct
0.000 0.500 0.000
0.000 0.500 0.500
0.500 0.000 0.000
0.500 0.000 0.500
0.000 0.000 0.500
0.500 0.500 0.000
0.500 0.500 0.500
0.000 0.000 0.000
0.229 0.801 0.015
0.699 0.271 0.485
0.301 0.729 0.515
0.771 0.199 0.985
0.743 0.757 0.005
0.743 0.757 0.495
0.257 0.243 0.505
0.257 0.243 0.995
```

Output
Raw formation energy = -23.6 kcal/mol of atoms
DFT total energy = -3.477 eV per atom

# 2
Li2TlHg | PBE-GGA | relaxed

POSCAR file:
```
Li2TlHg
1.0
3.331 0.000 -0.291
0.000 4.861 0.000
0.841 -0.001 9.647
Li Tl Hg
4 2 2
Direct
0.000 0.750 0.631
0.000 0.250 0.369
0.000 0.750 0.116
0.000 0.250 0.884
0.500 0.250 0.629
0.500 0.750 0.371
0.500 0.250 0.125
0.500 0.750 0.875
```

Output
Energy relative to the elements = -0.303 eV per atom
DFT total energy = -1.927 eV per atom

Size of the total moment readings, ordered: 0.00; 0.00 μB/cell